# 1
# GaAsIN2

A geometry-optimized GaAsIN2 structure (GGA-PBE, Alexandria).

ρ   4.67 g/cm3
Formation energy (no corrections)   1269 meV/atom
Fermi-level density of states   0.398 states/eV/atom
Total energy   -3.906 eV/atom

```
GaAsIN2
1.0
3.937 0.000 0.000
0.000 3.937 0.000
0.000 0.000 6.878
I As Ga N
1 1 1 2
Direct
0.000 0.000 0.500
0.000 0.000 0.000
0.500 0.500 0.500
0.000 0.500 0.000
0.500 0.000 0.000
```



# 2
# GaAsI2N

A geometry-optimized GaAsI2N structure (GGA-PBE, Alexandria).

ρ   4.79 g/cm3
Formation energy (no corrections)   488 meV/atom
Fermi-level density of states   0.548 states/eV/atom
Total energy   -3.332 eV/atom

```
GaAsI2N
1.0
-5.621 2.514 -0.929
-2.026 -2.573 5.297
1.038 3.008 1.858
I As Ga N
2 1 1 1
Direct
0.000 0.500 0.000
0.500 0.000 0.000
0.000 0.000 0.000
0.500 0.500 0.500
0.000 0.000 0.500
```



Excess energy over the best structure of this formula in the dataset (computed, meV per atom): 0; 0